No. 1
Entry from Alexandria: a geometry-optimized CsLi2PaBr8 structure (PBE). Values from VASP.

Properties
raw total energy = -3.748 eV per atom
crystal system = monoclinic
calculated volume = 40.934 Å³/atom
total magnetization = 0.05 μB/f.u.
ΔE_f (raw) = -1.4517 eV/atom

```
&SYSTEM
  ibrav = 0, nat = 12, ntyp = 4
/
ATOMIC_SPECIES
Br 79.90 Br.upf
Li 6.94 Li.upf
Pa 231.04 Pa.upf
Cs 132.91 Cs.upf
ATOMIC_POSITIONS crystal
Br 0.6988 0.6988 0.4037
Br 0.2409 0.2409 0.0041
Br 0.2605 0.7735 0.8249
Br 0.7735 0.2605 0.8249
Br 0.7591 0.7591 0.9959
Br 0.3012 0.3012 0.5963
Br 0.2265 0.7395 0.1751
Br 0.7395 0.2265 0.1751
Li 0.6401 0.6401 0.2101
Li 0.3599 0.3599 0.7899
Pa 0.0000 0.0000 0.0000
Cs 0.0000 0.0000 0.5000
CELL_PARAMETERS angstrom
6.8455 -0.4021 0.1024
2.8011 6.2592 0.1024
0.6343 0.3851 11.1840
```



No. 2
Entry from Alexandria: a geometry-optimized Cs2Li3PaBr12 structure (PBE). Values from VASP.

Properties
raw total energy = -3.352 eV per atom
crystal system = trigonal
calculated volume = 41.033 Å³/atom
total magnetization = 2.09 μB/f.u.
ΔE_f (raw) = -1.2950 eV/atom

```
&SYSTEM
  ibrav = 0, nat = 18, ntyp = 4
/
ATOMIC_SPECIES
Li 6.94 Li.upf
Br 79.90 Br.upf
Pa 231.04 Pa.upf
Cs 132.91 Cs.upf
ATOMIC_POSITIONS crystal
Li 0.0000 0.5000 0.0000
Li 0.5000 0.0000 0.0000
Li 0.0000 0.0000 0.5000
Br 0.6543 0.0956 0.6543
Br 0.1153 0.6453 0.1153
Br 0.6543 0.6543 0.0956
Br 0.1153 0.1153 0.6453
Br 0.3547 0.8847 0.8847
Br 0.8847 0.3547 0.8847
Br 0.9044 0.3457 0.3457
Br 0.3457 0.3457 0.9044
Br 0.3457 0.9044 0.3457
Br 0.8847 0.8847 0.3547
Br 0.6453 0.1153 0.1153
Br 0.0956 0.6543 0.6543
Pa 0.0000 0.0000 0.0000
Cs 0.5996 0.5996 0.5996
Cs 0.4004 0.4004 0.4004
CELL_PARAMETERS angstrom
12.9671 2.7752 1.9684
8.8169 9.9049 1.9684
8.8169 5.1322 8.6973
```



No. 3
Entry from Alexandria: a geometry-optimized Cs2LiPaBr6 structure (PBE). Values from VASP.

Properties
raw total energy = -3.859 eV per atom
crystal system = trigonal
calculated volume = 37.876 Å³/atom
total magnetization = 2.00 μB/f.u.
ΔE_f (raw) = -1.5435 eV/atom

```
&SYSTEM
  ibrav = 0, nat = 20, ntyp = 4
/
ATOMIC_SPECIES
Cs 132.91 Cs.upf
Br 79.90 Br.upf
Pa 231.04 Pa.upf
Li 6.94 Li.upf
ATOMIC_POSITIONS crystal
Cs 0.8768 0.8768 0.3696
Cs 0.7092 0.7092 0.8724
Cs 0.1232 0.1232 0.6304
Cs 0.2908 0.2908 0.1276
Br 0.6199 0.6199 0.6329
Br 0.3801 0.3801 0.3671
Br 0.6199 0.1273 0.6329
Br 0.8727 0.3801 0.3671
Br 0.2991 0.7877 0.1255
Br 0.2123 0.2123 0.8745
Br 0.1273 0.6199 0.6329
Br 0.7877 0.2991 0.1255
Br 0.3801 0.8727 0.3671
Br 0.7009 0.2123 0.8745
Br 0.7877 0.7877 0.1255
Br 0.2123 0.7009 0.8745
Pa 0.5000 0.5000 0.5000
Pa 0.0000 0.0000 0.0000
Li 0.4118 0.4118 0.7645
Li 0.5882 0.5882 0.2355
CELL_PARAMETERS angstrom
8.0671 0.0000 0.0000
4.0335 6.9863 0.0000
4.0335 2.3288 13.4410
```



No. 4
Entry from Alexandria: a geometry-optimized Cs2LiPbBr6 structure (PBE). Values from VASP.

Properties
raw total energy = -3.019 eV per atom
crystal system = cubic
calculated volume = 36.020 Å³/atom
total magnetization = 0.00 μB/f.u.
ΔE_f (raw) = -1.2828 eV/atom

```
&SYSTEM
  ibrav = 0, nat = 10, ntyp = 4
/
ATOMIC_SPECIES
Cs 132.91 Cs.upf
Pb 207.20 Pb.upf
Br 79.90 Br.upf
Li 6.94 Li.upf
ATOMIC_POSITIONS crystal
Cs 0.2500 0.7500 0.5000
Cs 0.7500 0.2500 0.5000
Pb 0.0000 0.0000 0.0000
Br 0.2557 0.7443 0.0000
Br 0.7443 0.2557 0.0000
Br 0.7443 0.7443 0.5113
Br 0.2557 0.2557 0.4887
Br 0.2557 0.2557 0.0000
Br 0.7443 0.7443 0.0000
Li 0.5000 0.5000 0.0000
CELL_PARAMETERS angstrom
-2.0435 -6.4457 -4.2485
7.7198 -1.7237 -1.0980
2.8164 -7.1883 2.0460
```



No. 5
Entry from Alexandria: a geometry-optimized Cs2LiPbBr5 structure (PBE). Values from VASP.

Properties
raw total energy = -3.205 eV per atom
crystal system = orthorhombic
calculated volume = 40.106 Å³/atom
total magnetization = 0.00 μB/f.u.
ΔE_f (raw) = -1.4613 eV/atom

```
&SYSTEM
  ibrav = 0, nat = 18, ntyp = 4
/
ATOMIC_SPECIES
Cs 132.91 Cs.upf
Br 79.90 Br.upf
Pb 207.20 Pb.upf
Li 6.94 Li.upf
ATOMIC_POSITIONS crystal
Cs 0.1047 0.2094 0.6815
Cs 0.8953 0.7906 0.1815
Cs 0.1273 0.2546 0.3228
Cs 0.8727 0.7454 0.8228
Br 0.7095 0.4190 0.1589
Br 0.3137 0.6274 0.3888
Br 0.2905 0.5810 0.6589
Br 0.9489 0.8977 0.5163
Br 0.4985 0.9971 0.2912
Br 0.6863 0.3726 0.8888
Br 0.0511 0.1023 0.0163
Br 0.5015 0.0029 0.7912
Br 0.3456 0.6911 0.0061
Br 0.6544 0.3089 0.5061
Pb 0.2018 0.4035 0.0244
Pb 0.7982 0.5965 0.5244
Li 0.5589 0.1179 0.9339
Li 0.4411 0.8821 0.4339
CELL_PARAMETERS angstrom
4.6427 0.0000 0.0000
-2.3214 10.2386 0.0000
0.0000 0.0000 15.1869
```



No. 6
Entry from Alexandria: a geometry-optimized Cs3LiPd2Br9 structure (PBE). Values from VASP.

Properties
raw total energy = -3.029 eV per atom
crystal system = trigonal
calculated volume = 31.118 Å³/atom
total magnetization = 0.00 μB/f.u.
ΔE_f (raw) = -1.0349 eV/atom

```
&SYSTEM
  ibrav = 0, nat = 15, ntyp = 4
/
ATOMIC_SPECIES
Li 6.94 Li.upf
Pd 106.42 Pd.upf
Br 79.90 Br.upf
Cs 132.91 Cs.upf
ATOMIC_POSITIONS crystal
Li 0.0000 0.0000 0.5000
Pd 0.6667 0.3333 0.8378
Pd 0.3333 0.6667 0.1622
Br 0.5000 0.5000 0.0000
Br 0.8297 0.6594 0.6789
Br 0.0000 0.5000 0.0000
Br 0.1703 0.3406 0.3211
Br 0.8297 0.1703 0.6789
Br 0.3406 0.1703 0.6789
Br 0.1703 0.8297 0.3211
Br 0.5000 0.0000 0.0000
Br 0.6594 0.8297 0.3211
Cs 0.6667 0.3333 0.3395
Cs 0.3333 0.6667 0.6605
Cs 0.0000 0.0000 0.0000
CELL_PARAMETERS angstrom
7.6024 0.0000 0.0000
-3.8012 6.5838 0.0000
0.0000 0.0000 9.3257
```



No. 7
Entry from Alexandria: a geometry-optimized CsLi2PmBr6 structure (PBE). Values from VASP.

Properties
raw total energy = -3.680 eV per atom
crystal system = triclinic
calculated volume = 39.918 Å³/atom
total magnetization = 0.00 μB/f.u.
ΔE_f (raw) = -1.7328 eV/atom

```
&SYSTEM
  ibrav = 0, nat = 10, ntyp = 4
/
ATOMIC_SPECIES
Br 79.90 Br.upf
Li 6.94 Li.upf
Cs 132.91 Cs.upf
Pm 145.00 Pm.upf
ATOMIC_POSITIONS crystal
Br 0.6776 0.2178 0.2190
Br 0.0475 0.4332 0.3263
Br 0.4547 0.8745 0.1835
Br 0.6360 0.2050 0.7689
Br 0.9959 0.4053 0.8835
Br 0.2293 0.7584 0.8963
Li 0.7738 0.5081 0.1571
Li 0.9094 0.1036 0.9534
Cs 0.5998 0.8361 0.5817
Pm 0.3376 0.3197 0.0455
CELL_PARAMETERS angstrom
-1.4528 -7.2864 -2.4482
4.7831 -4.1576 -4.2549
4.7264 -4.7655 5.2699
```



No. 8
Entry from Alexandria: a geometry-optimized Cs2Li2PmBr6 structure (PBE). Values from VASP.

Properties
raw total energy = -3.431 eV per atom
crystal system = monoclinic
calculated volume = 38.207 Å³/atom
total magnetization = 1.00 μB/f.u.
ΔE_f (raw) = -1.5834 eV/atom

```
&SYSTEM
  ibrav = 0, nat = 11, ntyp = 4
/
ATOMIC_SPECIES
Br 79.90 Br.upf
Pm 145.00 Pm.upf
Cs 132.91 Cs.upf
Li 6.94 Li.upf
ATOMIC_POSITIONS crystal
Br 0.2884 0.0851 0.7769
Br 0.2594 0.5188 0.3528
Br 0.2032 0.9149 0.2231
Br 0.7968 0.0851 0.7769
Br 0.7116 0.9149 0.2231
Br 0.7406 0.4812 0.6472
Pm 0.5000 0.0000 0.5000
Cs 0.2982 0.5964 0.8251
Cs 0.7018 0.4036 0.1749
Li 0.0673 0.1347 0.2696
Li 0.9327 0.8653 0.7304
CELL_PARAMETERS angstrom
8.2187 0.0000 0.0000
-4.1094 6.7194 0.3772
0.0000 -3.4650 7.4157
```